Record 1
Here is a relaxed CaSiBO crystal from Alexandria. Energies are from PBE.

Cell: 3.522 3.522 5.278 Å, 90.00 90.00 120.00°
Positions (direct):
Ca 0.000 0.000 0.000
Si 0.667 0.333 0.470
B 0.333 0.667 0.373
O 0.667 0.333 0.796

Summary:
- E above lowest polymorph: 0 kJ/mol of formula units
- Space group: P3m1, No. 156
- Uncorrected energy: -23.79 eV/cell
- Crystal system: trigonal
- Formation energy from raw total energies: -1.1822 eV/atom

Record 2
Here is a relaxed Rb3Ba3OsO8 crystal from Alexandria. Energies are from PBE.

Cell: 7.935 7.935 7.935 Å, 57.57 57.57 57.57°
Positions (direct):
Rb 0.000 0.500 0.500
Rb 0.500 0.000 0.500
Rb 0.500 0.500 0.000
Ba 0.000 0.000 0.500
Ba 0.000 0.500 0.000
Ba 0.500 0.000 0.000
Os 0.500 0.500 0.500
O 0.235 0.235 0.235
O 0.313 0.676 0.676
O 0.324 0.324 0.687
O 0.324 0.687 0.324
O 0.676 0.313 0.676
O 0.676 0.676 0.313
O 0.687 0.324 0.324
O 0.765 0.765 0.765

Summary:
- Space group: R-3m, No. 166
- Uncorrected energy: -86.17 eV/cell
- Crystal system: trigonal
- Formation energy from raw total energies: -1.7737 eV/atom

Record 3
Here is a relaxed AlTcP crystal from Alexandria. Energies are from PBE.

Cell: 5.974 2.985 6.022 Å, 90.00 119.45 90.00°
Positions (direct):
Al 0.152 0.000 0.284
Al 0.848 0.000 0.716
Tc 0.257 0.500 0.982
Tc 0.743 0.500 0.018
P 0.383 0.000 0.741
P 0.617 0.000 0.259

Summary:
- E above lowest polymorph: 25 kJ/mol of formula units
- Space group: P2/m, No. 10
- Energy of formation: -426.4 meV per atom
- Uncorrected energy: -41.60 eV/cell
- Crystal system: monoclinic

Record 4
Here is a relaxed Sm6HoHg2 crystal from Alexandria. Energies are from PBE.

Cell: 6.678 6.678 12.063 Å, 108.05 108.05 32.83°
Positions (direct):
Sm 0.020 0.020 0.337
Sm 0.310 0.310 0.411
Sm 0.313 0.313 0.124
Sm 0.687 0.687 0.876
Sm 0.690 0.690 0.589
Sm 0.980 0.980 0.663
Ho 0.000 0.000 0.000
Hg 0.362 0.362 0.804
Hg 0.638 0.638 0.196

Summary:
- Space group: C2/m, No. 12
- Energy of formation: -209.9 meV per atom
- Uncorrected energy: -35.39 eV/cell
- Crystal system: monoclinic

Record 5
Here is a relaxed SrPaRh crystal from Alexandria. Energies are from PBE.

Cell: 10.876 10.876 8.054 Å, 93.43 93.43 24.49°
Positions (direct):
Sr 0.077 0.077 0.335
Sr 0.408 0.408 0.141
Sr 0.592 0.592 0.859
Sr 0.923 0.923 0.665
Pa 0.216 0.216 0.639
Pa 0.227 0.227 0.083
Pa 0.773 0.773 0.917
Pa 0.784 0.784 0.361
Rh 0.327 0.327 0.808
Rh 0.330 0.330 0.465
Rh 0.670 0.670 0.535
Rh 0.673 0.673 0.192

Summary:
- Space group: C2/m, No. 12
- Energy of formation: -294.4 meV per atom
- Uncorrected energy: -77.65 eV/cell
- Crystal system: monoclinic

Record 6
Here is a relaxed CaTl3Ga crystal from Alexandria. Energies are from PBE.

Cell: 5.930 5.930 5.930 Å, 90.00 90.00 90.00°
Positions (direct):
Ca 0.000 0.000 0.000
Tl 0.000 0.000 0.500
Tl 0.000 0.500 0.000
Tl 0.500 0.000 0.000
Ga 0.500 0.500 0.500

Summary:
- E above lowest polymorph: 208 kJ/mol of formula units
- Space group: Pm-3m, No. 221
- Energy of formation: 509.1 meV per atom
- Uncorrected energy: -9.58 eV/cell
- Crystal system: cubic

Record 7
Here is a relaxed SrMnP2Cl crystal from Alexandria. Energies are from PBE.

Cell: 4.465 4.465 5.659 Å, 90.00 90.00 90.00°
Positions (direct):
Sr 0.000 0.000 0.000
Mn 0.500 0.500 0.500
P 0.000 0.500 0.500
P 0.500 0.000 0.500
Cl 0.500 0.500 0.000

Summary:
- E above lowest polymorph: 0 kJ/mol of formula units
- Space group: P4/mmm, No. 123
- Uncorrected energy: -26.65 eV/cell
- Crystal system: tetragonal
- Formation energy from raw total energies: -0.6274 eV/atom

Record 8
Here is a relaxed MgRe2SnRh crystal from Alexandria. Energies are from PBE.

Cell: 4.927 4.927 4.818 Å, 90.00 90.00 90.00°
Positions (direct):
Mg 0.000 0.000 0.000
Re 0.000 0.500 0.500
Re 0.500 0.000 0.500
Sn 0.500 0.500 0.500
Rh 0.500 0.500 0.000

Summary:
- Space group: P4/mmm, No. 123
- Energy of formation: 1961.9 meV per atom
- Uncorrected energy: -28.04 eV/cell
- Crystal system: tetragonal

Record 9
Here is a relaxed Zr2Be9Cu crystal from Alexandria. Energies are from PBE.

Cell: 7.800 7.800 7.800 Å, 34.28 34.28 34.28°
Positions (direct):
Zr 0.144 0.144 0.144
Zr 0.856 0.856 0.856
Be 0.085 0.577 0.577
Be 0.334 0.334 0.334
Be 0.423 0.423 0.915
Be 0.423 0.915 0.423
Be 0.500 0.500 0.500
Be 0.577 0.085 0.577
Be 0.577 0.577 0.085
Be 0.666 0.666 0.666
Be 0.915 0.423 0.423
Cu 0.000 0.000 0.000

Summary:
- Space group: R-3m, No. 166
- Energy of formation: 65.1 meV per atom
- Uncorrected energy: -53.95 eV/cell
- Crystal system: trigonal

Record 10
Here is a relaxed Pa2Be3Si4Ni crystal from Alexandria. Energies are from PBE.

Cell: 3.976 3.976 9.149 Å, 90.00 90.00 90.00°
Positions (direct):
Pa 0.000 0.500 0.250
Pa 0.500 0.000 0.750
Be 0.000 0.000 0.000
Be 0.000 0.500 0.624
Be 0.500 0.000 0.376
Si 0.000 0.000 0.500
Si 0.000 0.500 0.867
Si 0.500 0.000 0.133
Si 0.500 0.500 0.500
Ni 0.500 0.500 0.000

Summary:
- Space group: P-4m2, No. 115
- Uncorrected energy: -62.07 eV/cell
- Crystal system: tetragonal
- Formation energy from raw total energies: -0.4421 eV/atom

Record 11
Here is a relaxed Rb3In5Br12 crystal from Alexandria. Energies are from PBE.

Cell: 16.418 16.418 16.418 Å, 109.47 109.47 109.47°
Positions (direct):
Rb 0.125 0.250 0.375
Rb 0.125 0.375 0.750
Rb 0.250 0.375 0.125
Rb 0.250 0.875 0.625
Rb 0.375 0.125 0.250
Rb 0.375 0.750 0.125
Rb 0.625 0.250 0.875
Rb 0.625 0.875 0.750
Rb 0.750 0.125 0.375
Rb 0.750 0.625 0.875
Rb 0.875 0.625 0.250
Rb 0.875 0.750 0.625
In 0.000 0.000 0.000
In 0.000 0.000 0.500
In 0.000 0.500 0.000
In 0.000 0.500 0.500
In 0.125 0.750 0.875
In 0.125 0.875 0.250
In 0.250 0.125 0.875
In 0.250 0.625 0.375
In 0.375 0.250 0.625
In 0.375 0.625 0.750
In 0.500 0.000 0.000
In 0.500 0.000 0.500
In 0.500 0.500 0.000
In 0.500 0.500 0.500
In 0.625 0.375 0.250
In 0.625 0.750 0.375
In 0.750 0.375 0.625
In 0.750 0.875 0.125
In 0.875 0.125 0.750
In 0.875 0.250 0.125
Br 0.021 0.210 0.121
Br 0.021 0.311 0.901
Br 0.089 0.710 0.689
Br 0.089 0.879 0.401
Br 0.099 0.621 0.411
Br 0.099 0.979 0.689
Br 0.121 0.021 0.210
Br 0.121 0.599 0.911
Br 0.189 0.210 0.589
Br 0.189 0.479 0.599
Br 0.210 0.121 0.021
Br 0.210 0.589 0.189
Br 0.290 0.311 0.911
Br 0.290 0.479 0.379
Br 0.311 0.901 0.021
Br 0.311 0.911 0.290
Br 0.379 0.290 0.479
Br 0.379 0.589 0.901
Br 0.401 0.089 0.879
Br 0.401 0.811 0.521
Br 0.411 0.099 0.621
Br 0.411 0.811 0.790
Br 0.479 0.379 0.290
Br 0.479 0.599 0.189
Br 0.521 0.401 0.811
Br 0.521 0.621 0.710
Br 0.589 0.189 0.210
Br 0.589 0.901 0.379
Br 0.599 0.189 0.479
Br 0.599 0.911 0.121
Br 0.621 0.411 0.099
Br 0.621 0.710 0.521
Br 0.689 0.089 0.710
Br 0.689 0.099 0.979
Br 0.710 0.521 0.621
Br 0.710 0.689 0.089
Br 0.790 0.411 0.811
Br 0.790 0.879 0.979
Br 0.811 0.521 0.401
Br 0.811 0.790 0.411
Br 0.879 0.401 0.089
Br 0.879 0.979 0.790
Br 0.901 0.021 0.311
Br 0.901 0.379 0.589
Br 0.911 0.121 0.599
Br 0.911 0.290 0.311
Br 0.979 0.689 0.099
Br 0.979 0.790 0.879

Summary:
- Space group: Ia-3d, No. 230
- Uncorrected energy: -227.29 eV/cell
- Crystal system: cubic
- Formation energy from raw total energies: -1.0077 eV/atom